# 1
# TbTmGeRh PBE-GGA relaxed
data_TbTmGeRh
_chemical_formula_sum 'Tb4 Tm4 Ge4 Rh4'
_symmetry_space_group_name_H-M 'F -4 3 m'
_symmetry_Int_Tables_number 216
_symmetry_space_group_name_Hall 'F -4 2 3'
_cell_length_a 6.969
_cell_length_b 6.969
_cell_length_c 6.969
_cell_angle_alpha 90.00
_cell_angle_beta 90.00
_cell_angle_gamma 90.00
loop_
_atom_site_label
_atom_site_fract_x
_atom_site_fract_y
_atom_site_fract_z
_atom_site_occupancy
Tb1 0.000 0.000 0.000 1
Tm1 0.000 0.000 0.500 1
Ge1 0.250 0.250 0.250 1
Rh1 0.250 0.250 0.750 1
# ΔH_f (0 K): -0.744 eV per atom
# Crystal system: cubic

=====

# 2
# TbTmGeRh PBE-GGA relaxed
data_TbTmGeRh
_chemical_formula_sum 'Tb2 Tm2 Ge2 Rh2'
_symmetry_space_group_name_H-M 'A m m 2'
_symmetry_Int_Tables_number 38
_cell_length_a 4.122
_cell_length_b 4.015
_cell_length_c 10.608
_cell_angle_alpha 90.00
_cell_angle_beta 90.00
_cell_angle_gamma 90.00
loop_
_symmetry_equiv_pos_as_xyz
'x,y,z'
'-x,-y,z'
'-x,y,z'
'x,-y,z'
'x,y+1/2,z+1/2'
'-x,-y+1/2,z+1/2'
'-x,y+1/2,z+1/2'
'x,-y+1/2,z+1/2'
loop_
_atom_site_label
_atom_site_fract_x
_atom_site_fract_y
_atom_site_fract_z
_atom_site_occupancy
Tb1 0.000 0.000 0.000 1
Tm1 0.500 0.000 0.720 1
Ge1 0.000 0.000 0.284 1
Rh1 0.500 0.000 0.441 1
# ΔH_f (0 K): -0.871 eV per atom
# Crystal system: orthorhombic

=====

# 3
# TbTm2Ge2Rh5 PBE-GGA relaxed
data_TbTm2Ge2Rh5
_chemical_formula_sum 'Tb2 Tm4 Ge4 Rh10'
_symmetry_space_group_name_H-M 'P 4/m b m'
_symmetry_Int_Tables_number 127
_symmetry_space_group_name_Hall '-P 4 2ab'
_cell_length_a 9.888
_cell_length_b 9.888
_cell_length_c 3.669
_cell_angle_alpha 90.00
_cell_angle_beta 90.00
_cell_angle_gamma 90.00
loop_
_atom_site_label
_atom_site_fract_x
_atom_site_fract_y
_atom_site_fract_z
_atom_site_occupancy
Tb1 0.000 0.000 0.000 1
Tm1 0.173 0.327 0.000 1
Ge1 0.124 0.624 0.000 1
Rh1 0.000 0.500 0.500 1
Rh2 0.070 0.784 0.500 1
# ΔH_f (0 K): -0.871 eV per atom
# Crystal system: tetragonal

=====

# 4
# Tb2ZnGe3Rh4 PBE-GGA relaxed
data_Tb2ZnGe3Rh4
_chemical_formula_sum 'Tb2 Zn1 Ge3 Rh4'
_symmetry_space_group_name_H-M 'P -4 m 2'
_symmetry_Int_Tables_number 115
_cell_length_a 4.163
_cell_length_b 4.163
_cell_length_c 10.321
_cell_angle_alpha 90.00
_cell_angle_beta 90.00
_cell_angle_gamma 90.00
loop_
_symmetry_equiv_pos_as_xyz
'x,y,z'
'y,-x,-z'
'-x,-y,z'
'-y,x,-z'
'-x,y,z'
'-y,-x,-z'
'x,-y,z'
'y,x,-z'
loop_
_atom_site_label
_atom_site_fract_x
_atom_site_fract_y
_atom_site_fract_z
_atom_site_occupancy
Tb1 0.000 0.500 0.250 1
Zn1 0.000 0.000 0.500 1
Ge1 0.000 0.500 0.870 1
Ge2 0.500 0.500 0.500 1
Rh1 0.000 0.000 0.000 1
Rh2 0.000 0.500 0.636 1
Rh3 0.500 0.500 0.000 1
# ΔH_f (0 K): -0.820 eV per atom
# Crystal system: tetragonal

=====

# 5
# TcGe2Rh PBE-GGA relaxed
data_TcGe2Rh
_chemical_formula_sum 'Tc3 Ge6 Rh3'
_symmetry_space_group_name_H-M 'R -3 m'
_symmetry_Int_Tables_number 166
_symmetry_space_group_name_Hall '-R 3 2"'
_cell_length_a 2.9197
_cell_length_b 2.9197
_cell_length_c 26.1992
_cell_angle_alpha 90.00
_cell_angle_beta 90.00
_cell_angle_gamma 120.00
loop_
_atom_site_label
_atom_site_fract_x
_atom_site_fract_y
_atom_site_fract_z
_atom_site_occupancy
Tc1 0.0000 0.0000 0.0000 1
Ge1 0.0000 0.0000 0.4085 1
Rh1 0.0000 0.0000 0.5000 1
# ΔH_f (0 K): 0.017 eV per atom
# Crystal system: trigonal

=====

# 6
# TcGe4Rh PBE-GGA relaxed
data_TcGe4Rh
_chemical_formula_sum 'Tc2 Ge8 Rh2'
_symmetry_space_group_name_H-M 'P n c 2'
_symmetry_Int_Tables_number 30
_cell_length_a 5.372
_cell_length_b 6.378
_cell_length_c 6.921
_cell_angle_alpha 90.00
_cell_angle_beta 90.00
_cell_angle_gamma 90.00
loop_
_symmetry_equiv_pos_as_xyz
'x,y,z'
'-x,-y,z'
'-x,y+1/2,z+1/2'
'x,-y+1/2,z+1/2'
loop_
_atom_site_label
_atom_site_fract_x
_atom_site_fract_y
_atom_site_fract_z
_atom_site_occupancy
Tc1 0.000 0.000 0.000 1
Ge1 0.134 0.238 0.263 1
Ge2 0.361 0.729 0.444 1
Rh1 0.500 0.000 0.219 1
# ΔH_f (0 K): -0.157 eV per atom
# Crystal system: orthorhombic

=====

# 7
# Tc2GeRh2 PBE-GGA relaxed
data_Tc2GeRh2
_chemical_formula_sum 'Tc4 Ge2 Rh4'
_symmetry_space_group_name_H-M 'P 4/m b m'
_symmetry_Int_Tables_number 127
_symmetry_space_group_name_Hall '-P 4 2ab'
_cell_length_a 7.593
_cell_length_b 7.593
_cell_length_c 2.720
_cell_angle_alpha 90.00
_cell_angle_beta 90.00
_cell_angle_gamma 90.00
loop_
_atom_site_label
_atom_site_fract_x
_atom_site_fract_y
_atom_site_fract_z
_atom_site_occupancy
Tc1 0.173 0.327 0.000 1
Ge1 0.000 0.000 0.500 1
Rh1 0.123 0.623 0.500 1
# ΔH_f (0 K): 0.272 eV per atom
# Crystal system: tetragonal

=====

# 8
# Tc3GeRh PBE-GGA relaxed
data_Tc3GeRh
_chemical_formula_sum 'Tc3 Ge1 Rh1'
_symmetry_space_group_name_H-M 'P m -3 m'
_symmetry_Int_Tables_number 221
_symmetry_space_group_name_Hall '-P 4 2 3'
_cell_length_a 4.470
_cell_length_b 4.470
_cell_length_c 4.470
_cell_angle_alpha 90.00
_cell_angle_beta 90.00
_cell_angle_gamma 90.00
loop_
_atom_site_label
_atom_site_fract_x
_atom_site_fract_y
_atom_site_fract_z
_atom_site_occupancy
Tc1 0.000 0.000 0.500 1
Ge1 0.000 0.000 0.000 1
Rh1 0.500 0.500 0.500 1
# ΔH_f (0 K): 1.429 eV per atom
# Crystal system: cubic

=====

# 9
# TcGe2Rh PBE-GGA relaxed
data_TcGe2Rh
_chemical_formula_sum 'Tc4 Ge8 Rh4'
_symmetry_space_group_name_H-M 'I -4 2 d'
_symmetry_Int_Tables_number 122
_symmetry_space_group_name_Hall 'I -4 2bw'
_cell_length_a 5.565
_cell_length_b 5.565
_cell_length_c 10.949
_cell_angle_alpha 90.00
_cell_angle_beta 90.00
_cell_angle_gamma 90.00
loop_
_atom_site_label
_atom_site_fract_x
_atom_site_fract_y
_atom_site_fract_z
_atom_site_occupancy
Tc1 0.000 0.000 0.000 1
Ge1 0.248 0.250 0.625 1
Rh1 0.000 0.000 0.500 1
# ΔH_f (0 K): 0.447 eV per atom
# Crystal system: tetragonal

=====

# 10
# Tc3GeRh PBE-GGA relaxed
data_Tc3GeRh
_chemical_formula_sum 'Tc3 Ge1 Rh1'
_symmetry_space_group_name_H-M 'P m -3 m'
_symmetry_Int_Tables_number 221
_symmetry_space_group_name_Hall '-P 4 2 3'
_cell_length_a 4.672
_cell_length_b 4.672
_cell_length_c 4.672
_cell_angle_alpha 90.00
_cell_angle_beta 90.00
_cell_angle_gamma 90.00
loop_
_atom_site_label
_atom_site_fract_x
_atom_site_fract_y
_atom_site_fract_z
_atom_site_occupancy
Tc1 0.000 0.000 0.500 1
Ge1 0.500 0.500 0.500 1
Rh1 0.000 0.000 0.000 1
# ΔH_f (0 K): 1.812 eV per atom
# Crystal system: cubic

=====

Q: What is the formula in the second record?
A: TbTmGeRh

=====

Q: Look up the ΔH_f (0 K) of the fifth one.
A: 0.017 eV per atom

=====

Q: Which value of ΔH_f (0 K) does entry 10 give?
A: 1.812 eV per atom